Computed, not measured: a relaxed structure of Y3FePd12 at the PBE level of DFT.

Calculated values
Symmetry: No. 123
ρ, kg/m3: 9808
Size of the total moment, μB per formula unit: 4.23
DFT formation energy, eV/atom: -0.645

```
16
Lattice="4.090 0.000 0.000 0.000 4.090 0.000 0.000 0.000 16.189" Properties=species:S:1:pos:R:3 pbc="T T T"
Y 0.000 0.000 0.000
Y 0.000 0.000 4.169
Y 0.000 0.000 12.019
Fe 0.000 0.000 8.094
Pd 0.000 2.045 2.090
Pd 0.000 2.045 6.286
Pd 0.000 2.045 9.902
Pd 0.000 2.045 14.099
Pd 2.045 0.000 2.090
Pd 2.045 0.000 6.286
Pd 2.045 0.000 9.902
Pd 2.045 0.000 14.099
Pd 2.045 2.045 0.000
Pd 2.045 2.045 4.181
Pd 2.045 2.045 8.094
Pd 2.045 2.045 12.007
```

***

Computed, not measured: a relaxed structure of Ba8Sr5Ca at the PBE level of DFT.

Calculated values
Symmetry: No. 82
ρ, kg/m3: 3062
Size of the total moment, μB per formula unit: 0.00
DFT formation energy, eV/atom: 0.145

```
14
Lattice="-6.200 6.200 5.561 6.200 -6.200 5.561 6.200 6.200 -5.561" Properties=species:S:1:pos:R:3 pbc="T T T"
Ba 7.953 -3.294 3.083
Ba 2.907 -1.753 2.479
Ba 5.887 2.006 -0.770
Ba 9.494 1.753 2.479
Ba 4.448 3.294 3.083
Ba 4.194 -0.314 6.332
Ba 2.006 6.514 0.770
Ba 0.314 4.194 4.791
Sr 1.094 1.859 1.423
Sr 0.000 0.000 5.561
Sr -4.342 5.106 4.139
Sr 4.342 7.295 4.139
Sr -1.094 10.542 1.423
Ca 6.200 0.000 2.781
```

***

Computed, not measured: a relaxed structure of GeINF2 at the PBE level of DFT.

Calculated values
Symmetry: No. 123
ρ, kg/m3: 4476
Energy relative to the lowest polymorph listed for this composition, meV per atom: 683
Uncorrected formation energy, eV per atom: 0.3968
Size of the total moment, μB per formula unit: 0.01

```
5
Lattice="4.768 0.000 0.000 0.000 4.768 0.000 0.000 0.000 4.106" Properties=species:S:1:pos:R:3 pbc="T T T"
Ge 0.000 0.000 0.000
I 2.384 2.384 2.053
N 2.384 2.384 0.000
F 0.000 2.384 2.053
F 2.384 0.000 2.053
```

***

Computed, not measured: a relaxed structure of CePu2Ga at the PBE level of DFT.

Calculated values
Symmetry: No. 123
ρ, kg/m3: 12025
Energy relative to the lowest polymorph listed for this composition, meV per atom: 10
Size of the total moment, μB per formula unit: 12.30
DFT formation energy, eV/atom: -0.191

```
4
Lattice="4.528 0.000 0.000 0.000 4.528 0.000 0.000 0.000 4.700" Properties=species:S:1:pos:R:3 pbc="T T T"
Ce 0.000 0.000 0.000
Pu 0.000 2.264 2.350
Pu 2.264 0.000 2.350
Ga 2.264 2.264 0.000
```

***

Computed, not measured: a relaxed structure of BaLaH6Rh2 at the PBE level of DFT.

Calculated values
Total energy, eV per atom: -4.59
Symmetry: No. 15
ρ, kg/m3: 5974
Size of the total moment, μB per formula unit: 0.98

```
20
Lattice="4.125 -5.096 0.000 4.125 5.096 0.000 -2.981 0.000 6.455" Properties=species:S:1:pos:R:3 pbc="T T T"
Ba 1.889 3.521 4.841
Ba 3.380 -3.521 1.614
La 3.380 0.916 1.614
La 1.889 -0.916 4.841
H 1.635 2.486 2.378
H 1.445 0.470 0.043
H -0.045 -0.470 3.270
H 0.711 1.119 5.661
H 5.124 2.486 0.849
H 3.067 1.119 4.021
H 2.202 -1.119 2.434
H 0.145 -2.486 5.606
H 4.558 -1.119 0.793
H 5.314 0.470 3.185
H 3.824 -0.470 6.412
H 3.634 -2.486 4.076
Rh -0.945 1.526 5.311
Rh 0.546 -1.526 2.084
Rh 4.723 1.526 4.371
Rh 6.214 -1.526 1.143
```

***

Computed, not measured: a relaxed structure of NiRuCN2 at the PBE level of DFT.

Calculated values
Symmetry: No. 123
ρ, kg/m3: 7186
Uncorrected formation energy, eV per atom: 2.0612
Size of the total moment, μB per formula unit: 0.00

```
5
Lattice="3.601 0.000 0.000 0.000 3.601 0.000 0.000 0.000 3.559" Properties=species:S:1:pos:R:3 pbc="T T T"
Ni 0.000 0.000 0.000
Ru 1.801 1.801 0.000
C 0.000 0.000 1.780
N 0.000 1.801 1.780
N 1.801 0.000 1.780
```

***

Computed, not measured: a relaxed structure of Ba2PrOsO8 at the PBE level of DFT.

Calculated values
Symmetry: No. 10
ρ, kg/m3: 6031
Uncorrected formation energy, eV per atom: -1.8690
Size of the total moment, μB per formula unit: 1.04

```
12
Lattice="4.578 0.000 0.000 0.000 7.358 0.000 -0.408 0.000 5.997" Properties=species:S:1:pos:R:3 pbc="T T T"
Ba 0.000 1.791 0.000
Ba 0.000 5.567 0.000
Pr 2.085 3.679 2.998
Os 2.085 0.000 2.998
O 0.227 3.679 1.579
O 0.221 0.000 2.427
O 1.768 1.368 4.263
O 1.768 5.990 4.263
O 2.403 1.368 1.734
O 2.403 5.990 1.734
O 3.949 0.000 3.570
O 3.944 3.679 4.418
```

***

Computed, not measured: a relaxed structure of Pm2MnGe3Pt4 at the PBE level of DFT.

Calculated values
Symmetry: No. 115
ρ, kg/m3: 11628
Size of the total moment, μB per formula unit: 3.77
DFT formation energy, eV/atom: -0.846

```
10
Lattice="4.313 0.000 0.000 0.000 4.313 0.000 0.000 0.000 10.310" Properties=species:S:1:pos:R:3 pbc="T T T"
Pm 0.000 2.157 2.553
Pm 2.157 0.000 7.757
Mn 2.157 2.157 0.000
Ge 0.000 0.000 0.000
Ge 0.000 2.157 6.508
Ge 2.157 0.000 3.802
Pt 0.000 0.000 5.155
Pt 0.000 2.157 8.937
Pt 2.157 0.000 1.373
Pt 2.157 2.157 5.155
```

***

Computed, not measured: a relaxed structure of MgTa2B2Ru5 at the PBE level of DFT.

Calculated values
Symmetry: No. 127
ρ, kg/m3: 11471
Size of the total moment, μB per formula unit: 0.00
DFT formation energy, eV/atom: -0.420

```
20
Lattice="9.324 0.000 0.000 0.000 9.324 0.000 0.000 0.000 3.041" Properties=species:S:1:pos:R:3 pbc="T T T"
Mg 0.000 0.000 0.000
Mg 4.662 4.662 0.000
Ta 1.652 3.010 0.000
Ta 3.010 7.672 0.000
Ta 6.314 1.652 0.000
Ta 7.672 6.314 0.000
B 1.171 5.833 0.000
B 3.491 1.171 0.000
B 5.833 8.153 0.000
B 8.153 3.491 0.000
Ru 0.000 4.662 1.520
Ru 0.660 7.291 1.520
Ru 2.034 0.660 1.520
Ru 2.628 5.322 1.520
Ru 4.002 2.628 1.520
Ru 4.662 0.000 1.520
Ru 5.322 6.696 1.520
Ru 6.696 4.002 1.520
Ru 7.291 8.664 1.520
Ru 8.664 2.034 1.520
```

***

Computed, not measured: a relaxed structure of HoZnGe2 at the PBE level of DFT.

Calculated values
Symmetry: No. 123
ρ, kg/m3: 8136
Size of the total moment, μB per formula unit: 0.00
DFT formation energy, eV/atom: -0.432

```
4
Lattice="4.333 0.000 0.000 0.000 4.333 0.000 0.000 0.000 4.084" Properties=species:S:1:pos:R:3 pbc="T T T"
Ho 0.000 0.000 0.000
Zn 2.166 2.166 0.000
Ge 0.000 2.166 2.042
Ge 2.166 0.000 2.042
```

***

Computed, not measured: a relaxed structure of TmZn2Cu4 at the PBE level of DFT.

Calculated values
Symmetry: No. 12
ρ, kg/m3: 8932
Energy relative to the lowest polymorph listed for this composition, meV per atom: 0
Size of the total moment, μB per formula unit: 0.00
DFT formation energy, eV/atom: -0.237

```
7
Lattice="4.043 -3.189 0.000 4.043 3.189 0.000 -2.972 0.000 3.993" Properties=species:S:1:pos:R:3 pbc="T T T"
Tm 0.000 0.000 0.000
Zn 3.289 0.000 0.984
Zn 1.824 0.000 3.009
Cu 1.581 1.966 1.243
Cu 3.533 1.966 2.750
Cu 1.581 -1.966 1.243
Cu 3.533 -1.966 2.750
```

***

Computed, not measured: a relaxed structure of Sm6Y2ErTm3 at the PBE level of DFT.

Calculated values
Symmetry: No. 12
ρ, kg/m3: 7557
Size of the total moment, μB per formula unit: 0.00
DFT formation energy, eV/atom: 0.016

```
12
Lattice="3.102 -5.370 0.000 3.102 5.370 0.000 -2.059 0.000 11.569" Properties=species:S:1:pos:R:3 pbc="T T T"
Sm 0.005 1.785 8.699
Sm 1.029 0.000 2.870
Sm 0.005 -1.785 8.699
Sm 4.140 1.785 2.870
Sm 3.115 0.000 8.699
Sm 4.140 -1.785 2.870
Y 2.072 1.790 5.784
Y 2.072 -1.790 5.784
Er -1.029 0.000 5.784
Tm 3.102 3.580 0.000
Tm 3.102 0.000 0.000
Tm 3.102 -3.580 0.000
```

***

> What is the formula in the sixth record?

NiRuCN2